Entry 1:
Entry from Alexandria: a geometry-optimized ZrH2Rh structure (PBE).

Summary:
* total energy: -5.707 eV per atom
* ΔE to the lowest computed polymorph: 36.2 kJ/mol of atoms
* N(E_F): 2.4 states/eV per cell
* magnetic moment: 0.00 μB/atom
* crystal system: cubic

Lattice parameters (Å, degrees): 3.8995 3.8995 3.8995 60.00 60.00 60.00
Fractional coordinates of all 4 atoms:
H: 0.2500 0.2500 0.2500
Rh: 0.5000 0.5000 0.5000
H: 0.7500 0.7500 0.7500
Zr: 0.0000 0.0000 0.0000



Entry 2:
Entry from Alexandria: a geometry-optimized Cs3HfH structure (PBE).

Summary:
* total energy: -2.309 eV per atom
* N(E_F): 6.7 states/eV per cell
* magnetic moment: 0.80 μB/atom
* crystal system: cubic

Lattice parameters (Å, degrees): 6.1764 6.1764 6.1764 90.00 90.00 90.00
Last column: magnetic moment on the atom in μB.
Fractional coordinates of all 5 atoms:
Cs: 0.0000 0.5000 0.0000  0.05
Hf: 0.5000 0.5000 0.5000  1.54
Cs: 0.5000 0.0000 0.0000  0.04
Cs: 0.0000 0.0000 0.5000  0.06
H: 0.0000 0.0000 0.0000  0.01



Entry 3:
Entry from Alexandria: a geometry-optimized BeRhPb2 structure (PBE).

Summary:
* total energy: -4.590 eV per atom
* N(E_F): 2.2 states/eV per cell
* magnetic moment: 0.00 μB/atom
* crystal system: monoclinic
* ΔE_f: 3 kJ/mol of atoms

Lattice parameters (Å, degrees): 3.7821 4.1824 5.4988 67.51 90.00 90.00
Fractional coordinates of all 4 atoms:
Pb: 0.0000 0.9819 0.9134
Rh: 0.0000 0.6808 0.5127
Pb: 0.5000 0.2724 0.3273
Be: 0.5000 0.5650 0.7466



Entry 4:
Entry from Alexandria: a geometry-optimized Pm7Nd12Y structure (PBE).

Summary:
* total energy: -4.242 eV per atom
* ΔE to the lowest computed polymorph: 37.3 kJ/mol of atoms
* N(E_F): 26.7 states/eV per cell
* magnetic moment: 0.00 μB/atom
* crystal system: cubic
* ΔE_f: 58 kJ/mol of atoms

Lattice parameters (Å, degrees): 10.0849 10.0849 10.0849 109.47 109.47 109.47
Fractional coordinates of all 20 atoms:
Nd: 0.5027 0.7520 0.7506
Nd: 0.7520 0.7506 0.5027
Pm: 0.0000 0.0000 0.5000
Nd: 0.7520 0.2494 0.0014
Nd: 0.2480 0.7506 0.9986
Pm: 0.0000 0.5000 0.5000
Nd: 0.2494 0.0014 0.7520
Nd: 0.7506 0.5027 0.7520
Nd: 0.2494 0.4973 0.2480
Pm: 0.5000 0.0000 0.0000
Pm: 0.5000 0.5000 0.5000
Nd: 0.7506 0.9986 0.2480
Nd: 0.0014 0.7520 0.2494
Nd: 0.2480 0.2494 0.4973
Pm: 0.5000 0.5000 0.0000
Nd: 0.4973 0.2480 0.2494
Pm: 0.5000 0.0000 0.5000
Nd: 0.9986 0.2480 0.7506
Pm: 0.0000 0.5000 0.0000
Y: 0.0000 0.0000 0.0000



Entry 5:
Entry from Alexandria: a geometry-optimized Pm4InAu structure (PBE).

Summary:
* total energy: -4.588 eV per atom
* ΔE to the lowest computed polymorph: 0.0 kJ/mol of atoms
* N(E_F): 12.3 states/eV per cell
* magnetic moment: 0.00 μB/atom
* crystal system: monoclinic
* ΔE_f: -40 kJ/mol of atoms

Lattice parameters (Å, degrees): 5.5268 7.1363 9.9728 90.00 115.65 90.00
Fractional coordinates of all 12 atoms:
Au: 0.2196 0.2500 0.5584
Au: 0.7804 0.7500 0.4416
In: 0.3169 0.2500 0.0834
In: 0.6831 0.7500 0.9166
Pm: 0.0802 0.9824 0.7688
Pm: 0.6224 0.2500 0.4450
Pm: 0.9198 0.4824 0.2312
Pm: 0.0802 0.5176 0.7688
Pm: 0.9198 0.0176 0.2312
Pm: 0.6652 0.2500 0.8786
Pm: 0.3776 0.7500 0.5550
Pm: 0.3348 0.7500 0.1214



Entry 6:
Entry from Alexandria: a geometry-optimized Cs2ScBiI6 structure (PBE).

Summary:
* total energy: -3.121 eV per atom
* N(E_F): 3.5 states/eV per cell
* raw formation energy: -0.999 eV per atom
* magnetic moment: 0.00 μB/atom
* crystal system: tetragonal

Lattice parameters (Å, degrees): 8.5121 8.5121 9.1759 62.37 62.37 90.00
Fractional coordinates of all 10 atoms:
Cs: 0.7500 0.2500 0.5000
I: 0.7093 0.7093 0.5814
Bi: 0.0000 0.0000 0.0000
I: 0.2907 0.2907 0.4186
I: 0.7422 0.7422 0.0000
Cs: 0.2500 0.7500 0.5000
I: 0.7422 0.2578 0.0000
I: 0.2578 0.7422 0.0000
Sc: 0.5000 0.5000 0.0000
I: 0.2578 0.2578 0.0000